A plane-wave DFT calculation with PBE+U was carried out for a geometry-optimized KMoH8N2F6 structure.

Output
M_tot = 3.00 μB/f.u.
calculated total energy = -4.9983 eV per atom
density = 2.36 g cm⁻³

The structure in CIF format:
```
data_KMoH8N2F6
_space_group_name_H-M_alt 'F m -3 m'
_space_group_IT_number 225
_space_group_name_Hall '-F 4 2 3'
_cell_length_a 9.296
_cell_length_b 9.296
_cell_length_c 9.296
_cell_angle_alpha 90.00
_cell_angle_beta 90.00
_cell_angle_gamma 90.00
loop_
_atom_site_label
_atom_site_type_symbol
_atom_site_fract_x
_atom_site_fract_y
_atom_site_fract_z
K1 K 0.000 0.000 0.000
Mo1 Mo 0.000 0.000 0.500
H1 H 0.186 0.186 0.314
N1 N 0.250 0.250 0.250
F1 F 0.000 0.000 0.275
```